1.
GGA-PBE TbScAu6, relaxed; formation energy from the elements = -0.63 eV/atom; V = 19.53 Å³ per atom; total energy = -4.456 eV per atom; symmetry = C2/m, No. 12
1.0
-4.1749 -1.1501 0.9635
-0.5530 -4.0859 2.9395
-1.7629 3.6680 6.9530
Au Tb Sc
6 1 1
direct
0.7528 0.1323 0.3621
0.7471 0.6211 0.8848
0.4934 0.7641 0.2490
0.2472 0.8677 0.6379
0.2529 0.3789 0.1152
0.5066 0.2359 0.7510
0.0000 0.5000 0.5000
0.0000 0.0000 0.0000

=====

2.
GGA-PBE CePrErCd, relaxed; formation energy from the elements = 0.06 eV/atom; V = 28.65 Å³ per atom; total energy = -3.983 eV per atom; symmetry = F-43m, No. 216
1.0
-3.3335 2.2623 3.6734
-1.7641 -2.9272 4.2477
1.8221 1.1064 5.0180
Cd Er Ce Pr
1 1 1 1
direct
0.5000 0.5000 0.5000
0.7500 0.7500 0.7500
0.0000 0.0000 0.0000
0.2500 0.2500 0.2500

=====

3.
GGA-PBE La7Tl3Hg2, relaxed; formation energy from the elements = -0.15 eV/atom; V = 34.47 Å³ per atom; total energy = -3.669 eV per atom; symmetry = Cmmm, No. 65
1.0
-3.0679 -1.0001 4.8802
0.1138 -5.7041 -1.0973
10.3039 1.8455 6.8556
Hg La Tl
2 7 3
direct
0.0000 0.8493 0.6985
0.0000 0.1507 0.3015
0.0000 0.0000 0.0000
0.0000 0.7133 0.4265
0.0000 0.4213 0.8427
0.5000 0.9086 0.8171
0.0000 0.2867 0.5735
0.5000 0.0914 0.1829
0.0000 0.5787 0.1573
0.5000 0.3448 0.6895
0.5000 0.6552 0.3105
0.5000 0.5000 0.0000

=====

4.
GGA-PBE BeHg2P, relaxed; formation energy from the elements = 0.70 eV/atom; V = 19.13 Å³ per atom; offset from the most stable computed form = 0.673 eV per atom; total energy = -1.738 eV per atom; symmetry = Cmmm, No. 65
1.0
-4.1305 2.0628 0.6456
-0.3262 -4.5942 0.7215
0.8240 0.5123 3.6348
P Be Hg
1 1 2
direct
0.5000 0.0000 0.5000
0.0000 0.5000 0.5000
0.0000 0.0000 0.0000
0.5000 0.5000 0.0000